Here is a crystal of MnInCo3 relaxed with PBEsol from the Alexandria database. Energies are from SCAN.

```
data_MnInCo3
_chemical_formula_sum 'Mn1 In1 Co3'
_cell_length_a 4.139
_cell_length_b 4.139
_cell_length_c 4.139
_cell_angle_alpha 90.00
_cell_angle_beta 90.00
_cell_angle_gamma 90.00
_space_group_name_H-M_alt 'P m -3 m'
_space_group_IT_number 221
_space_group_name_Hall '-P 4 2 3'
loop_
_atom_site_label
_atom_site_type_symbol
_atom_site_fract_x
_atom_site_fract_y
_atom_site_fract_z
_atom_site_occupancy
Mn1 Mn 0.000 0.000 0.000 1
In1 In 0.500 0.500 0.500 1
Co1 Co 0.000 0.000 0.500 1
```

Computed properties:
Electronic total energy: -97.94 eV/f.u.
DOS at the Fermi energy: 4.55 states/eV per cell